# 1
{"formula": "TlMo3O9", "functional": "GGA+U", "state": "optimized geometry", "lattice_angstrom": [[5.084, -6.807, 0.000], [5.084, 6.807, 0.000], [0.000, 0.000, 8.977]], "species": ["Tl", "Tl", "Mo", "Mo", "Mo", "Mo", "Mo", "Mo", "O", "O", "O", "O", "O", "O", "O", "O", "O", "O", "O", "O", "O", "O", "O", "O", "O", "O"], "frac_coords": [[0.123, 0.123, 0.000], [0.877, 0.877, 0.500], [0.252, 0.252, 0.500], [0.292, 0.683, 0.957], [0.317, 0.708, 0.543], [0.683, 0.292, 0.043], [0.708, 0.317, 0.457], [0.748, 0.748, 0.000], [0.143, 0.160, 0.344], [0.160, 0.143, 0.656], [0.183, 0.794, 0.054], [0.206, 0.817, 0.446], [0.222, 0.473, 0.996], [0.246, 0.471, 0.508], [0.274, 0.726, 0.750], [0.471, 0.246, 0.492], [0.473, 0.222, 0.004], [0.527, 0.778, 0.504], [0.529, 0.754, 0.992], [0.726, 0.274, 0.250], [0.754, 0.529, 0.008], [0.778, 0.527, 0.496], [0.794, 0.183, 0.946], [0.817, 0.206, 0.554], [0.840, 0.857, 0.156], [0.857, 0.840, 0.844]], "space_group": "C222_1, No. 20", "relative_energy_mev_per_atom": 86, "rho_g_cm3": 3.400, "e_tot_ev_per_atom": -6.65}

---

# 2
{"formula": "TlMoO2", "functional": "GGA+U", "state": "optimized geometry", "lattice_angstrom": [[0.000, 3.046, 3.046], [3.046, 0.000, 3.046], [3.046, 3.046, 0.000]], "species": ["Tl", "Mo", "O", "O"], "frac_coords": [[0.000, 0.000, 0.000], [0.500, 0.500, 0.500], [0.250, 0.250, 0.250], [0.750, 0.750, 0.750]], "space_group": "Fm-3m, No. 225", "relative_energy_mev_per_atom": 1148, "rho_g_cm3": 9.764, "e_tot_ev_per_atom": -4.90, "dos_ef_per_ev_cell": 3.31}

---

# 3
{"formula": "Tl2Mo2O7", "functional": "GGA+U", "state": "optimized geometry", "lattice_angstrom": [[4.173, -5.316, 0.000], [4.173, 5.316, 0.000], [-0.947, 0.000, 5.575]], "species": ["Tl", "Tl", "Mo", "Mo", "O", "O", "O", "O", "O", "O", "O"], "frac_coords": [[0.196, 0.804, 0.000], [0.804, 0.196, 0.000], [0.282, 0.282, 0.564], [0.718, 0.718, 0.436], [0.116, 0.385, 0.733], [0.140, 0.140, 0.292], [0.385, 0.116, 0.733], [0.500, 0.500, 0.500], [0.615, 0.884, 0.267], [0.860, 0.860, 0.708], [0.884, 0.615, 0.267]], "space_group": "C2/m, No. 12", "rho_g_cm3": 4.784, "e_tot_ev_per_atom": -6.30, "dos_ef_per_ev_cell": 0.00}

---

# 4
{"formula": "TlMoO2", "functional": "GGA+U", "state": "optimized geometry", "lattice_angstrom": [[2.776, 0.000, 0.000], [0.000, 2.776, 0.000], [0.000, 0.000, 7.575]], "species": ["Tl", "Mo", "O", "O"], "frac_coords": [[0.000, 0.000, 0.000], [0.000, 0.000, 0.500], [0.500, 0.500, 0.345], [0.500, 0.500, 0.655]], "space_group": "P4/mmm, No. 123", "relative_energy_mev_per_atom": 575, "rho_g_cm3": 9.454, "e_tot_ev_per_atom": -5.47, "dos_ef_per_ev_cell": 0.70}